# 1
10
Lattice="7.1958 0.0000 0.0000 0.0000 7.1958 0.0000 0.0000 0.0000 3.2271" Properties=species:S:1:pos:R:3 comment="TaTi2Re2 PBE optimized geometry" sg="P4/mbm (127)" e_form_ev_per_atom=0.09 m_tot_mub_per_cell=0.001 polymorph_energy_mev_per_atom=455 dos_ef_per_ev_cell=10.039 pbc="T T T"
Re 2.5388 6.1366 0.0000
Re 6.1366 4.6570 0.0000
Re 4.6570 1.0591 0.0000
Re 1.0591 2.5388 0.0000
Ti 1.1113 4.7092 1.6135
Ti 4.7092 6.0845 1.6135
Ti 6.0845 2.4866 1.6135
Ti 2.4866 1.1113 1.6135
Ta 0.0000 0.0000 0.0000
Ta 3.5979 3.5979 0.0000



# 2
7
Lattice="5.0278 -1.3219 -2.5767 -2.8881 5.0127 -0.4447 -0.7616 1.3219 5.5981" Properties=species:S:1:pos:R:3 comment="Ta2TiRe4 PBE optimized geometry" sg="I4/mmm (139)" e_form_ev_per_atom=0.39 m_tot_mub_per_cell=0.000 dos_ef_per_ev_cell=6.906 pbc="T T T"
Ta 1.0699 1.8454 -1.5107
Ta 2.1331 0.0000 1.5107
Ti 0.0000 0.0000 0.0000
Re 2.5139 -0.6609 -1.2883
Re 0.6891 2.5063 1.2883
Re -0.3808 0.6609 2.7990
Re -1.4440 2.5063 -0.2223



# 3
4
Lattice="-3.6503 -2.0387 -1.5637 -0.4219 -0.7755 -4.3757 0.2707 -4.1723 -1.5636" Properties=species:S:1:pos:R:3 comment="TaTiVRe PBE optimized geometry" sg="F-43m (216)" e_form_ev_per_atom=-0.23 m_tot_mub_per_cell=1.123 dos_ef_per_ev_cell=4.724 pbc="T T T"
Re -1.9008 -3.4933 -3.7515
V 0.0000 0.0000 0.0000
Ti -0.9504 -1.7466 -1.8758
Ta -2.8512 -5.2399 -5.6273



# 4
4
Lattice="-2.8353 -3.8806 1.2430 -1.9119 -4.2731 -1.6518 3.3659 -3.4024 1.5352" Properties=species:S:1:pos:R:3 comment="TaTlRe2 PBE optimized geometry" sg="C2/m (12)" e_form_ev_per_atom=0.53 m_tot_mub_per_cell=0.000 polymorph_energy_mev_per_atom=166 dos_ef_per_ev_cell=2.914 pbc="T T T"
Re 3.1775 -3.4228 1.4778
Re -0.5022 -5.7577 0.6205
Ta -1.0360 -8.6671 0.8448
Tl -0.3453 -2.8890 0.2816



# 5
4
Lattice="3.2419 0.0000 0.0000 0.0000 3.2312 -0.1224 0.0000 1.9675 8.4688" Properties=species:S:1:pos:R:3 comment="TaTl2Re PBE optimized geometry" sg="Pm (6)" e_form_ev_per_atom=0.41 m_tot_mub_per_cell=0.000 polymorph_energy_mev_per_atom=0 dos_ef_per_ev_cell=2.658 pbc="T T T"
Re 0.0000 2.4089 4.5497
Ta 1.6209 4.0868 5.7956
Tl 0.0000 2.5435 8.1259
Tl 1.6209 0.7262 2.5173



# 6
6
Lattice="-0.9928 -4.3286 -2.8213 1.9717 -4.6369 1.5145 -3.1927 -3.7159 1.9187" Properties=species:S:1:pos:R:3 comment="TaTlRe4 PBE optimized geometry" sg="F-43m (216)" e_form_ev_per_atom=0.42 m_tot_mub_per_cell=0.000 dos_ef_per_ev_cell=5.901 pbc="T T T"
Ta -1.6604 -9.5111 0.4589
Tl 0.0000 0.0000 0.0000
Re -1.3274 -6.9219 -1.1865
Re -2.4312 -6.6144 1.1919
Re 0.1601 -7.0766 0.9891
Re -0.8292 -4.7499 0.2292



# 7
4
Lattice="-2.3907 -3.2190 -3.7004 -0.1053 -5.3788 0.9101 -1.4238 4.9015 1.9283" Properties=species:S:1:pos:R:3 comment="TaTlRe2 PBE optimized geometry" sg="Imm2 (44)" e_form_ev_per_atom=0.56 m_tot_mub_per_cell=0.000 polymorph_energy_mev_per_atom=189 dos_ef_per_ev_cell=3.215 pbc="T T T"
Re -0.0297 -0.1025 -0.0333
Re -1.3748 -2.3408 0.7370
Ta -1.2184 -4.1967 -1.3620
Tl -2.5449 -1.3552 -1.5989



# 8
4
Lattice="5.1501 -0.0022 0.0127 4.2406 2.9225 0.0127 1.1271 0.3505 4.6430" Properties=species:S:1:pos:R:3 comment="TaTlRe2 PBE optimized geometry" sg="Cm (8)" e_form_ev_per_atom=0.55 m_tot_mub_per_cell=0.000 polymorph_energy_mev_per_atom=186 dos_ef_per_ev_cell=3.506 pbc="T T T"
Re 1.2317 0.3830 4.5234
Re 7.7879 2.4218 3.5332
Ta 5.1919 1.6146 2.4519
Tl 2.6924 0.8373 1.1373



# 9
4
Lattice="3.3276 0.0000 0.0000 0.0000 3.3276 0.0000 0.0000 0.0000 6.9741" Properties=species:S:1:pos:R:3 comment="TaTl2Re PBE optimized geometry" sg="P4/mmm (123)" e_form_ev_per_atom=1.08 m_tot_mub_per_cell=0.001 polymorph_energy_mev_per_atom=670 dos_ef_per_ev_cell=3.107 pbc="T T T"
Re 1.6638 1.6638 1.7435
Ta 1.6638 1.6638 5.2306
Tl 0.0000 0.0000 0.0916
Tl 0.0000 0.0000 3.3955



# 10
4
Lattice="-3.8204 -3.1592 -0.0977 1.2831 -3.9518 2.7059 0.1501 4.8339 1.0933" Properties=species:S:1:pos:R:3 comment="TaTlRe2 PBE optimized geometry" sg="I4/mmm (139)" e_form_ev_per_atom=0.63 m_tot_mub_per_cell=0.000 polymorph_energy_mev_per_atom=264 dos_ef_per_ev_cell=3.749 pbc="T T T"
Re 0.0000 0.0000 0.0000
Re -1.2686 -3.5555 1.3041
Ta 0.0823 -1.3366 2.5517
Tl -2.4694 -0.9403 1.1499



# 11
3
Lattice="-1.7873 -2.2570 1.3620 2.7162 0.9287 1.3796 -3.4007 4.7883 3.4720" Properties=species:S:1:pos:R:3 comment="TaTlRe PBE optimized geometry" sg="P3m1 (156)" e_form_ev_per_atom=0.49 m_tot_mub_per_cell=0.000 polymorph_energy_mev_per_atom=2 dos_ef_per_ev_cell=1.979 pbc="T T T"
Re -0.1152 0.1622 0.1176
Ta 0.2125 1.2784 2.3973
Tl -2.5691 2.0195 3.6987



# 12
4
Lattice="2.1323 -3.1892 2.8320 -1.9562 -4.3008 0.6441 2.0607 -3.8636 -1.8880" Properties=species:S:1:pos:R:3 comment="TaTl2Re PBE optimized geometry" sg="Fm-3m (225)" e_form_ev_per_atom=1.06 m_tot_mub_per_cell=0.000 polymorph_energy_mev_per_atom=653 dos_ef_per_ev_cell=1.751 pbc="T T T"
Re 1.1184 -5.6768 0.7941
Tl 0.5592 -2.8384 0.3970
Tl 1.6776 -8.5152 1.1911
Ta 0.0000 0.0000 0.0000



# 13
4
Lattice="6.5332 0.0420 -0.0023 3.9442 5.2084 0.0023 -4.6965 -3.7071 2.6237" Properties=species:S:1:pos:R:3 comment="TaTl2Re PBE optimized geometry" sg="Imm2 (44)" e_form_ev_per_atom=0.71 m_tot_mub_per_cell=0.000 polymorph_energy_mev_per_atom=299 dos_ef_per_ev_cell=2.490 pbc="T T T"
Re 4.9179 2.4644 0.0000
Ta 2.7882 2.3364 1.3130
Tl 0.0760 0.0381 0.0000
Tl 3.2375 -0.6704 1.3107



# 14
4
Lattice="9.6429 -0.0070 -0.0041 9.1501 3.0433 -0.0041 9.1501 1.4783 2.6601" Properties=species:S:1:pos:R:3 comment="TaTl2Re PBE optimized geometry" sg="R-3m (166)" e_form_ev_per_atom=0.91 m_tot_mub_per_cell=0.001 polymorph_energy_mev_per_atom=501 dos_ef_per_ev_cell=3.160 pbc="T T T"
Re 6.9858 1.1287 0.6630
Ta 20.9574 3.3860 1.9889
Tl 27.8552 4.5004 2.6435
Tl 14.0595 2.2715 1.3343



# 15
4
Lattice="3.2617 0.0000 0.0000 0.0000 4.9913 0.0000 0.0000 0.0000 4.8628" Properties=species:S:1:pos:R:3 comment="TaTl2Re PBE optimized geometry" sg="Pmmm (47)" e_form_ev_per_atom=0.87 m_tot_mub_per_cell=0.000 polymorph_energy_mev_per_atom=459 dos_ef_per_ev_cell=2.643 pbc="T T T"
Re 1.6308 0.0000 2.4314
Ta 0.0000 2.4956 2.4314
Tl 0.0000 0.0000 0.0000
Tl 1.6308 2.4956 0.0000



# 16
4
Lattice="9.7433 -0.0047 -0.0028 9.3094 2.8751 -0.0028 9.3094 1.4025 2.5098" Properties=species:S:1:pos:R:3 comment="TaTlRe2 PBE optimized geometry" sg="R3m (160)" e_form_ev_per_atom=0.47 m_tot_mub_per_cell=0.000 polymorph_energy_mev_per_atom=107 dos_ef_per_ev_cell=2.015 pbc="T T T"
Re 28.1669 4.2435 2.4871
Re 7.2201 1.0877 0.6375
Ta 14.3291 2.1587 1.2652
Tl 21.1891 3.1922 1.8709



# 17
4
Lattice="3.0597 -0.0016 0.0000 -1.5233 2.6536 0.0000 0.0000 0.0000 9.8842" Properties=species:S:1:pos:R:3 comment="TaTl2Re PBE optimized geometry" sg="Cmmm (65)" e_form_ev_per_atom=0.94 m_tot_mub_per_cell=0.355 polymorph_energy_mev_per_atom=530 dos_ef_per_ev_cell=3.956 pbc="T T T"
Re 0.7682 1.3260 2.4711
Ta 0.7682 1.3260 7.4132
Tl 0.0000 0.0000 0.0707
Tl 0.0000 0.0000 4.8714



# 18
4
Lattice="-1.6205 0.4173 2.5538 -1.5869 -1.3901 -2.2072 3.1991 -9.2840 3.5470" Properties=species:S:1:pos:R:3 comment="TaTl2Re PBE optimized geometry" sg="Cmm2 (35)" e_form_ev_per_atom=0.48 m_tot_mub_per_cell=0.000 polymorph_energy_mev_per_atom=73 dos_ef_per_ev_cell=2.609 pbc="T T T"
Re 1.7009 -4.9359 1.8858
Ta 0.6717 -7.0898 2.6962
Tl 3.1166 -9.0445 3.4555
Tl -0.6988 -3.1126 1.1767



# 19
4
Lattice="4.7885 0.0000 0.0000 0.0000 4.7885 0.0000 0.0000 0.0000 3.3636" Properties=species:S:1:pos:R:3 comment="TaTl2Re PBE optimized geometry" sg="P4/mmm (123)" e_form_ev_per_atom=1.14 m_tot_mub_per_cell=0.000 polymorph_energy_mev_per_atom=727 dos_ef_per_ev_cell=3.921 pbc="T T T"
Re 2.3942 0.0000 1.6818
Ta 0.0000 2.3942 1.6818
Tl 0.0000 0.0000 0.0000
Tl 2.3942 2.3942 0.0000



# 20
5
Lattice="4.8371 0.0000 0.0000 0.0000 4.8371 0.0000 0.0000 0.0000 4.8371" Properties=species:S:1:pos:R:3 comment="TaTlRe3 PBE optimized geometry" sg="Pm-3m (221)" e_form_ev_per_atom=2.28 m_tot_mub_per_cell=2.828 polymorph_energy_mev_per_atom=0 dos_ef_per_ev_cell=5.593 pbc="T T T"
Re 0.0000 2.4186 0.0000
Re 0.0000 0.0000 2.4186
Re 2.4186 0.0000 0.0000
Tl 2.4186 2.4186 2.4186
Ta 0.0000 0.0000 0.0000



# 21
5
Lattice="4.8935 0.0000 0.0000 0.0000 4.8935 0.0000 0.0000 0.0000 4.8935" Properties=species:S:1:pos:R:3 comment="Ta3TlRe PBE optimized geometry" sg="Pm-3m (221)" e_form_ev_per_atom=1.19 m_tot_mub_per_cell=0.000 polymorph_energy_mev_per_atom=0 dos_ef_per_ev_cell=2.120 pbc="T T T"
Re 0.0000 0.0000 0.0000
Tl 2.4467 2.4467 2.4467
Ta 0.0000 2.4467 0.0000
Ta 0.0000 0.0000 2.4467
Ta 2.4467 0.0000 0.0000



# 22
4
Lattice="3.9844 0.0000 0.0000 0.0000 2.9654 -0.0098 0.0000 2.9282 6.0177" Properties=species:S:1:pos:R:3 comment="TaTlRe2 PBE optimized geometry" sg="Pm (6)" e_form_ev_per_atom=0.46 m_tot_mub_per_cell=0.000 polymorph_energy_mev_per_atom=97 dos_ef_per_ev_cell=2.855 pbc="T T T"
Re 0.0000 2.9517 0.2581
Re 1.9922 1.5286 1.4210
Ta 0.0000 2.9119 2.7881
Tl 1.9922 4.4136 4.5349



# 23
4
Lattice="-2.6638 -3.1293 3.5334 -1.3975 -0.6920 -5.1905 2.1093 -2.1179 -0.2855" Properties=species:S:1:pos:R:3 comment="TaTl2Re PBE optimized geometry" sg="Cmmm (65)" e_form_ev_per_atom=1.07 m_tot_mub_per_cell=1.363 polymorph_energy_mev_per_atom=667 dos_ef_per_ev_cell=4.006 pbc="T T T"
Re -0.2773 -2.6236 1.6239
Ta 0.3559 -1.4050 -2.7380
Tl 0.0000 0.0000 0.0000
Tl -2.0307 -1.9106 -0.8286



# 24
5
Lattice="-1.7593 1.7593 8.6375 1.7593 -1.7593 8.6375 1.7593 1.7593 -8.6375" Properties=species:S:1:pos:R:3 comment="TaTl2Re2 PBE optimized geometry" sg="I4/mmm (139)" e_form_ev_per_atom=1.22 m_tot_mub_per_cell=1.234 dos_ef_per_ev_cell=4.672 pbc="T T T"
Ta 0.0000 0.0000 0.0000
Tl 0.0000 0.0000 10.4882
Tl 0.0000 0.0000 6.7869
Re 1.7593 0.0000 4.3188
Re 0.0000 1.7593 4.3188



# 25
4
Lattice="-2.2692 8.7974 -0.4232 -4.5588 7.7582 1.3231 -1.8801 8.5106 2.5998" Properties=species:S:1:pos:R:3 comment="TaTlRe2 PBE optimized geometry" sg="R-3m (166)" e_form_ev_per_atom=0.55 m_tot_mub_per_cell=0.000 polymorph_energy_mev_per_atom=179 dos_ef_per_ev_cell=1.718 pbc="T T T"
Re -8.6425 24.8776 3.4733
Re -4.4196 12.7217 1.7762
Ta -2.1770 6.2665 0.8749
Tl -6.5310 18.7996 2.6247



# 26
4
Lattice="-0.4182 4.1119 2.5187 -4.0695 0.9355 2.4475 0.0055 -0.1147 4.8387" Properties=species:S:1:pos:R:3 comment="TaTl2Re PBE optimized geometry" sg="F-43m (216)" e_form_ev_per_atom=1.01 m_tot_mub_per_cell=0.000 polymorph_energy_mev_per_atom=606 dos_ef_per_ev_cell=3.587 pbc="T T T"
Re -2.2411 2.4664 4.9025
Ta -1.1205 1.2332 2.4512
Tl 0.0000 0.0000 0.0000
Tl -3.3616 3.6995 7.3537



# 27
4
Lattice="9.8235 -0.0147 -0.0086 9.2864 3.2036 -0.0086 9.2864 1.5497 2.8039" Properties=species:S:1:pos:R:3 comment="TaTl2Re PBE optimized geometry" sg="R3m (160)" e_form_ev_per_atom=0.42 m_tot_mub_per_cell=0.000 polymorph_energy_mev_per_atom=15 dos_ef_per_ev_cell=1.439 pbc="T T T"
Re 13.8750 2.3154 1.3616
Ta 21.6635 3.6151 2.1259
Tl 0.1717 0.0286 0.0168
Tl 6.8844 1.1488 0.6756



# 28
4
Lattice="5.1292 0.0017 0.0000 1.9969 4.7245 0.0000 -3.5631 -2.3631 2.8335" Properties=species:S:1:pos:R:3 comment="TaTlRe2 PBE optimized geometry" sg="I-4m2 (119)" e_form_ev_per_atom=0.64 m_tot_mub_per_cell=0.001 polymorph_energy_mev_per_atom=268 dos_ef_per_ev_cell=4.824 pbc="T T T"
Re 0.0000 0.0000 0.0000
Re 0.9985 2.3622 1.4168
Ta 3.5631 2.3631 0.0000
Tl 2.5646 0.0009 1.4168



# 29
8
Lattice="-1.9163 3.7562 6.5382 5.5389 -3.8763 3.8503 3.6957 2.0036 4.5610" Properties=species:S:1:pos:R:3 comment="TaTl2Re PBE optimized geometry" sg="I-42d (122)" e_form_ev_per_atom=1.33 m_tot_mub_per_cell=3.058 polymorph_energy_mev_per_atom=926 dos_ef_per_ev_cell=6.982 pbc="T T T"
Re 0.0000 0.0000 0.0000
Re 1.7954 2.8499 8.1467
Tl 0.3980 2.4044 5.7782
Tl 4.1668 -1.4926 4.2936
Tl 4.0707 1.4994 7.2750
Tl 6.0011 1.3560 12.5521
Ta 1.8113 -0.0600 5.1943
Ta 5.5229 -0.9663 6.8028



# 30
4
Lattice="-0.4727 1.8175 4.2067 -3.5894 -1.1875 2.6323 0.6474 -2.6256 3.7296" Properties=species:S:1:pos:R:3 comment="TaTlRe2 PBE optimized geometry" sg="Fm-3m (225)" e_form_ev_per_atom=0.57 m_tot_mub_per_cell=0.000 polymorph_energy_mev_per_atom=198 dos_ef_per_ev_cell=2.928 pbc="T T T"
Re -0.8537 -0.4989 2.6422
Re -2.5610 -1.4967 7.9265
Tl -1.7073 -0.9978 5.2843
Ta 0.0000 0.0000 0.0000